# AcCdSbRu

AcCdSbRu after structural relaxation (GGA-PBE, Alexandria via LeMat-Bulk).

extended XYZ file:
```
4
Lattice="5.1532 0.0000 0.0000 2.5766 4.4628 0.0000 2.5766 1.4876 4.2076" Properties=species:S:1:pos:R:3 pbc="T T T"
Sb 7.7299 4.4628 3.1557
Ac 2.5766 1.4876 1.0519
Ru 0.0000 0.0000 0.0000
Cd 5.1532 2.9752 2.1038
```

## Properties
Final energy (eV for the cell shown): -18.29